1.
DFT (PBE) results for a geometry-optimized K2LiBr structure.

Lattice parameters (Å, degrees): 9.266 9.266 9.689 90.00 90.00 90.00
Space group I-42d (No. 122)
One atom of each set of equivalent atoms:
K1 0.195 0.250 0.125 x8
Li1 0.000 0.000 0.500 x4
Br1 0.000 0.000 0.000 x4

Results
**Polymorph energy (0 for the lowest one)**: 106 meV/atom
**Uncorrected formation energy**: -0.605 eV/atom
**V**: 831.9 Å³/cell

---

2.
DFT (PBE) results for a geometry-optimized KLiBr structure.

Lattice parameters (Å, degrees): 7.232 4.023 7.894 90.00 116.32 90.00
Space group Pm (No. 6)
One atom of each set of equivalent atoms:
K1 0.000 0.000 0.000 x1
K2 0.307 0.000 0.613 x1
Li1 0.505 0.500 0.089 x1
Li2 0.707 0.000 0.410 x1
Br1 0.682 0.500 0.636 x1
Br2 0.915 0.500 0.309 x1

Results
**Polymorph energy (0 for the lowest one)**: 35 meV/atom
**Uncorrected formation energy**: -0.939 eV/atom
**V**: 205.9 Å³/cell

---

3.
DFT (PBE) results for a geometry-optimized KLi2Br structure.

Lattice parameters (Å, degrees): 3.9078 3.9078 30.4830 90.00 90.00 120.00
Space group R-3m (No. 166, hexagonal axes)
One atom of each set of equivalent atoms:
K1 0.0000 0.0000 0.0000 x3
Li1 0.0000 0.0000 0.2181 x6
Br1 0.0000 0.0000 0.5000 x3

Results
**Polymorph energy (0 for the lowest one)**: 106 meV/atom
**Uncorrected formation energy**: -0.564 eV/atom
**V**: 403.1 Å³/cell